The following is a DFT calculation (PBE) of a relaxed Be4SiTe crystal.

The structure in CIF format:
```
data_Be4SiTe
_space_group_name_H-M_alt 'P 1'
_space_group_IT_number 1
_space_group_name_Hall 'P 1'
_cell_length_a 4.755
_cell_length_b 4.755
_cell_length_c 4.755
_cell_angle_alpha 60.00
_cell_angle_beta 60.00
_cell_angle_gamma 60.00
loop_
_atom_site_label
_atom_site_fract_x
_atom_site_fract_y
_atom_site_fract_z
Be1 0.122 0.122 0.122
Be2 0.122 0.122 0.635
Be3 0.122 0.635 0.122
Be4 0.635 0.122 0.122
Si1 0.750 0.750 0.750
Te1 0.500 0.500 0.500
```

Calculated values
Calculated total energy (eV/atom): -3.293
Formation energy without anion corrections (eV/atom): 0.62
D(E_F) (states/eV/cell): 1.90

***

The following is a DFT calculation (PBE) of a relaxed BeSi2Te crystal.

The structure in CIF format:
```
data_BeSi2Te
_space_group_name_H-M_alt 'P 1'
_space_group_IT_number 1
_space_group_name_Hall 'P 1'
_cell_length_a 4.633
_cell_length_b 4.633
_cell_length_c 4.633
_cell_angle_alpha 60.00
_cell_angle_beta 60.00
_cell_angle_gamma 60.00
loop_
_atom_site_label
_atom_site_fract_x
_atom_site_fract_y
_atom_site_fract_z
Be1 0.000 0.000 0.000
Si1 0.250 0.250 0.250
Si2 0.750 0.750 0.750
Te1 0.500 0.500 0.500
```

Calculated values
Polymorph energy (0 for the lowest one) (eV/atom): 0.757
Calculated total energy (eV/atom): -3.525
Formation energy without anion corrections (eV/atom): 0.90
D(E_F) (states/eV/cell): 2.40

***

The following is a DFT calculation (PBE) of a relaxed BeSi2Te crystal.

The structure in CIF format:
```
data_BeSi2Te
_space_group_name_H-M_alt 'P 1'
_space_group_IT_number 1
_space_group_name_Hall 'P 1'
_cell_length_a 6.873
_cell_length_b 6.873
_cell_length_c 6.873
_cell_angle_alpha 132.12
_cell_angle_beta 132.12
_cell_angle_gamma 70.04
loop_
_atom_site_label
_atom_site_fract_x
_atom_site_fract_y
_atom_site_fract_z
Be1 0.000 0.000 0.000
Be2 0.750 0.250 0.500
Si1 0.049 0.625 0.924
Si2 0.375 0.299 0.424
Si3 0.701 0.125 0.076
Si4 0.875 0.951 0.576
Te1 0.250 0.750 0.500
Te2 0.500 0.500 0.000
```

Calculated values
Polymorph energy (0 for the lowest one) (eV/atom): 0.178
Calculated total energy (eV/atom): -4.104
Formation energy without anion corrections (eV/atom): 0.32
D(E_F) (states/eV/cell): 0.50

***

The following is a DFT calculation (PBE) of a relaxed BeSi2Te crystal.

The structure in CIF format:
```
data_BeSi2Te
_space_group_name_H-M_alt 'P 1'
_space_group_IT_number 1
_space_group_name_Hall 'P 1'
_cell_length_a 4.987
_cell_length_b 4.987
_cell_length_c 4.987
_cell_angle_alpha 136.47
_cell_angle_beta 110.40
_cell_angle_gamma 85.78
loop_
_atom_site_label
_atom_site_fract_x
_atom_site_fract_y
_atom_site_fract_z
Be1 0.000 0.000 0.000
Si1 0.191 0.691 0.500
Si2 0.404 0.404 0.000
Te1 0.764 0.264 0.500
```

Calculated values
Polymorph energy (0 for the lowest one) (eV/atom): 0.466
Calculated total energy (eV/atom): -3.816
Formation energy without anion corrections (eV/atom): 0.61
D(E_F) (states/eV/cell): 1.45

***

The following is a DFT calculation (PBE) of a relaxed BeSi2Te crystal.

The structure in CIF format:
```
data_BeSi2Te
_space_group_name_H-M_alt 'P 1'
_space_group_IT_number 1
_space_group_name_Hall 'P 1'
_cell_length_a 2.888
_cell_length_b 2.888
_cell_length_c 9.003
_cell_angle_alpha 90.00
_cell_angle_beta 90.00
_cell_angle_gamma 90.00
loop_
_atom_site_label
_atom_site_fract_x
_atom_site_fract_y
_atom_site_fract_z
Be1 0.000 0.000 0.000
Si1 0.500 0.500 0.153
Si2 0.500 0.500 0.847
Te1 0.000 0.000 0.500
```

Calculated values
Polymorph energy (0 for the lowest one) (eV/atom): 0.375
Calculated total energy (eV/atom): -3.906
Formation energy without anion corrections (eV/atom): 0.52
D(E_F) (states/eV/cell): 1.40

***

The following is a DFT calculation (PBE) of a relaxed BeSi3Te crystal.

The structure in CIF format:
```
data_BeSi3Te
_space_group_name_H-M_alt 'P 1'
_space_group_IT_number 1
_space_group_name_Hall 'P 1'
_cell_length_a 4.480
_cell_length_b 4.480
_cell_length_c 4.480
_cell_angle_alpha 90.00
_cell_angle_beta 90.00
_cell_angle_gamma 90.00
loop_
_atom_site_label
_atom_site_fract_x
_atom_site_fract_y
_atom_site_fract_z
Be1 0.000 0.000 0.000
Si1 0.000 0.000 0.500
Si2 0.000 0.500 0.000
Si3 0.500 0.000 0.000
Te1 0.500 0.500 0.500
```

Calculated values
Polymorph energy (0 for the lowest one) (eV/atom): 0.000
Calculated total energy (eV/atom): -3.985
Formation energy without anion corrections (eV/atom): 0.64
D(E_F) (states/eV/cell): 3.11

***

The following is a DFT calculation (PBE) of a relaxed BeSi2Te crystal.

The structure in CIF format:
```
data_BeSi2Te
_space_group_name_H-M_alt 'P 1'
_space_group_IT_number 1
_space_group_name_Hall 'P 1'
_cell_length_a 3.806
_cell_length_b 3.707
_cell_length_c 5.765
_cell_angle_alpha 90.00
_cell_angle_beta 91.02
_cell_angle_gamma 90.00
loop_
_atom_site_label
_atom_site_fract_x
_atom_site_fract_y
_atom_site_fract_z
Be1 0.000 0.000 0.000
Si1 0.462 0.500 0.998
Si2 0.501 0.000 0.747
Te1 0.939 0.500 0.328
```

Calculated values
Polymorph energy (0 for the lowest one) (eV/atom): 0.218
Calculated total energy (eV/atom): -4.064
Formation energy without anion corrections (eV/atom): 0.36
D(E_F) (states/eV/cell): 1.23

***

The following is a DFT calculation (PBE) of a relaxed BeSi2Te crystal.

The structure in CIF format:
```
data_BeSi2Te
_space_group_name_H-M_alt 'P 1'
_space_group_IT_number 1
_space_group_name_Hall 'P 1'
_cell_length_a 4.504
_cell_length_b 4.504
_cell_length_c 4.504
_cell_angle_alpha 113.92
_cell_angle_beta 113.92
_cell_angle_gamma 100.90
loop_
_atom_site_label
_atom_site_fract_x
_atom_site_fract_y
_atom_site_fract_z
Be1 0.000 0.000 0.000
Si1 0.250 0.750 0.500
Si2 0.500 0.500 0.000
Te1 0.750 0.250 0.500
```

Calculated values
Polymorph energy (0 for the lowest one) (eV/atom): 0.626
Calculated total energy (eV/atom): -3.655
Formation energy without anion corrections (eV/atom): 0.77
D(E_F) (states/eV/cell): 2.10

***

Question: Which value of D(E_F) does entry 4 give?
Answer: 1.45 states/eV/cell